No. 1
BeCdHg2: relaxed, PBE.

Structure (POSCAR):
```
BeCdHg2
1.0
7.039 -0.002 0.044
5.135 4.814 -0.044
-5.744 -3.275 2.415
Be Hg Cd
1 2 1
direct
0.501 0.501 0.000
0.998 0.998 0.000
0.682 0.182 0.500
0.319 0.819 0.500
```

Output
As for the total energy: -4.33 eV per formula unit. The relative energy among the computed polymorphs comes out at 0.0000 eV per atom.

No. 2
BiTeC: relaxed, PBE.

Structure (POSCAR):
```
BiTeC
1.0
5.546 0.000 0.000
-0.552 5.671 0.000
-0.935 -1.428 5.714
C Te Bi
2 2 2
direct
0.209 0.038 0.729
0.396 0.970 0.852
0.204 0.198 0.426
0.827 0.521 0.901
0.350 0.753 0.129
0.764 0.951 0.673
```

Output
As for the total energy: -14.31 eV per formula unit. The relative energy among the computed polymorphs comes out at 0.0902 eV per atom. The value obtained for the energy relative to the elements, uncorrected is 0.644 eV/atom.

No. 3
KMn2Fe: relaxed, PBE.

Structure (POSCAR):
```
KMn2Fe
1.0
2.985 0.000 0.000
0.000 2.985 0.000
0.000 0.000 8.458
Fe K Mn
1 1 2
direct
0.500 0.500 0.250
0.500 0.500 0.750
0.000 0.000 0.093
0.000 0.000 0.407
```

Output
As for the total energy: -25.10 eV per formula unit. The relative energy among the computed polymorphs comes out at 0.0000 eV per atom.

No. 4
VSb2PI: relaxed, PBE.

Structure (POSCAR):
```
VSb2PI
1.0
5.256 0.000 0.000
0.000 4.517 0.000
0.000 0.000 5.256
I Sb P V
1 2 1 1
direct
0.500 0.500 0.500
0.000 0.000 0.500
0.500 0.000 0.000
0.000 0.500 0.000
0.000 0.000 0.000
```

Output
As for the total energy: -23.59 eV per formula unit. The relative energy among the computed polymorphs comes out at 0.0000 eV per atom. The value obtained for the energy relative to the elements, uncorrected is 0.147 eV/atom.

No. 5
LiY2Mg: relaxed, PBE.

Structure (POSCAR):
```
LiY2Mg
1.0
-2.516 1.082 -2.511
-2.724 -1.288 2.174
-0.498 6.950 3.493
Y Mg Li
2 1 1
direct
0.000 0.000 0.979
0.500 0.500 0.273
0.500 0.500 0.717
0.000 0.000 0.530
```

Output
As for the total energy: -16.38 eV per formula unit.

No. 6
InPd3Pt: relaxed, PBE.

Structure (POSCAR):
```
InPd3Pt
1.0
-2.852 -3.623 1.606
7.037 -1.551 2.067
0.908 2.274 4.287
In Pd Pt
2 6 2
direct
0.250 0.747 0.747
0.750 0.253 0.253
0.248 0.348 0.949
0.253 0.549 0.349
0.250 0.149 0.555
0.752 0.652 0.051
0.747 0.451 0.651
0.750 0.851 0.445
0.246 0.951 0.144
0.754 0.049 0.856
```

Output
As for the total energy: -26.10 eV per formula unit. The relative energy among the computed polymorphs comes out at 0.0000 eV per atom.

No. 7
Ce5Al2Os5: relaxed, PBE.

Structure (POSCAR):
```
Ce5Al2Os5
1.0
-2.362 -0.533 -2.905
6.386 -0.899 -2.566
-2.092 -9.815 3.501
Ce Al Os
5 2 5
direct
0.500 0.000 0.500
0.644 0.288 0.066
0.757 0.514 0.366
0.243 0.486 0.634
0.356 0.712 0.934
0.061 0.122 0.790
0.939 0.878 0.210
0.107 0.214 0.381
0.698 0.395 0.807
0.302 0.605 0.193
0.893 0.786 0.619
0.000 0.000 0.000
```

Output
As for the total energy: -93.88 eV per formula unit.

No. 8
Li4IO3: relaxed, PBE.

Structure (POSCAR):
```
Li4IO3
1.0
4.064 0.000 0.000
0.000 5.484 0.000
0.000 0.000 10.314
Li I O
8 2 6
direct
0.174 0.284 0.851
0.174 0.284 0.149
0.174 0.716 0.851
0.174 0.716 0.149
0.826 0.216 0.649
0.826 0.216 0.351
0.826 0.784 0.649
0.826 0.784 0.351
0.758 0.000 0.000
0.242 0.500 0.500
0.860 0.000 0.797
0.860 0.000 0.203
0.140 0.500 0.703
0.140 0.500 0.297
0.214 0.500 0.000
0.786 0.000 0.500
```

Output
As for the total energy: -33.69 eV per formula unit. The value obtained for the energy relative to the elements, uncorrected is -1.202 eV/atom.

no.,calculated density (kg/m³)
1,10670
2,6440
3,4514
4,6021
5,3226
6,12834
7,10747
8,2928